Record 1
The following is a DFT calculation (PBE+U) of a relaxed Li2Ti3FeO8 crystal.

Structure (POSCAR):
```
Li2Ti3FeO8
1.0
8.500 -0.016 -0.016
0.011 8.500 -0.016
0.011 0.011 8.500
O Ti Fe Li
32 12 4 8
direct
0.514 0.520 0.747 O
0.747 0.514 0.520 O
0.762 0.489 0.988 O
0.238 0.012 0.511 O
0.500 0.773 0.983 O
0.733 0.022 0.999 O
0.773 0.983 0.500 O
0.227 0.500 0.017 O
0.746 0.273 0.768 O
0.232 0.727 0.254 O
0.486 0.253 0.480 O
0.489 0.988 0.762 O
0.017 0.227 0.500 O
0.001 0.978 0.267 O
0.273 0.768 0.746 O
0.983 0.500 0.773 O
0.511 0.238 0.012 O
0.254 0.232 0.727 O
0.480 0.486 0.253 O
0.012 0.511 0.238 O
0.978 0.267 0.001 O
0.500 0.017 0.227 O
0.263 0.263 0.263 O
0.520 0.747 0.514 O
0.988 0.762 0.489 O
0.267 0.001 0.978 O
0.727 0.254 0.232 O
0.022 0.999 0.733 O
0.253 0.480 0.486 O
0.999 0.733 0.022 O
0.737 0.737 0.737 O
0.768 0.746 0.273 O
0.249 0.000 0.751 Ti
0.003 0.997 0.500 Ti
0.247 0.253 0.502 Ti
0.997 0.500 0.003 Ti
0.500 0.003 0.997 Ti
0.498 0.747 0.753 Ti
0.747 0.753 0.498 Ti
0.751 0.249 0.000 Ti
0.253 0.502 0.247 Ti
0.000 0.751 0.249 Ti
0.753 0.498 0.747 Ti
0.502 0.247 0.253 Ti
0.250 0.750 0.000 Fe
0.500 0.500 0.500 Fe
0.750 0.000 0.250 Fe
0.000 0.250 0.750 Fe
0.626 0.625 0.125 Li
0.875 0.375 0.374 Li
0.873 0.873 0.873 Li
0.625 0.125 0.626 Li
0.127 0.127 0.127 Li
0.375 0.374 0.875 Li
0.374 0.875 0.375 Li
0.125 0.626 0.625 Li
```

Summary:
space group = No. 155
N(E_F) = 7.01 states/eV per cell

Record 2
The following is a DFT calculation (PBE+U) of a relaxed LiTiFe5O8 crystal.

Structure (POSCAR):
```
LiTiFe5O8
1.0
5.464 -3.096 0.002
5.464 3.096 0.002
3.708 0.000 5.069
O Ti Fe Li
8 1 5 1
direct
0.767 0.238 0.767 O
0.234 0.234 0.762 O
0.238 0.767 0.767 O
0.762 0.234 0.234 O
0.760 0.760 0.760 O
0.239 0.239 0.239 O
0.767 0.767 0.238 O
0.234 0.762 0.234 O
0.020 0.020 0.020 Ti
0.630 0.630 0.630 Fe
0.009 0.009 0.471 Fe
0.471 0.009 0.009 Fe
0.009 0.471 0.009 Fe
0.366 0.366 0.366 Fe
0.879 0.879 0.879 Li
```

Summary:
space group = No. 160
N(E_F) = 5.00 states/eV per cell

Record 3
The following is a DFT calculation (PBE+U) of a relaxed Li5Ti2Fe5O12 crystal.

Structure (POSCAR):
```
Li5Ti2Fe5O12
1.0
5.189 0.001 0.011
-2.684 4.441 0.011
0.990 1.755 9.815
Fe Li O Ti
5 5 12 2
direct
0.579 0.421 0.500 Fe
0.917 0.083 0.500 Fe
0.423 0.577 0.000 Fe
0.494 0.000 0.754 Fe
0.000 0.506 0.246 Fe
0.167 0.326 0.752 Li
0.320 0.181 0.248 Li
0.819 0.680 0.752 Li
0.082 0.918 0.000 Li
0.674 0.833 0.248 Li
0.193 0.011 0.621 O
0.138 0.602 0.888 O
0.881 0.380 0.619 O
0.398 0.862 0.112 O
0.989 0.807 0.379 O
0.043 0.222 0.113 O
0.289 0.481 0.385 O
0.519 0.711 0.615 O
0.689 0.508 0.113 O
0.620 0.119 0.381 O
0.492 0.311 0.887 O
0.778 0.957 0.887 O
0.752 0.248 0.000 Ti
0.243 0.757 0.500 Ti
```

Summary:
space group = No. 5
N(E_F) = 0.00 states/eV per cell

Record 4
The following is a DFT calculation (PBE+U) of a relaxed LiTiFeO4 crystal.

Structure (POSCAR):
```
LiTiFeO4
1.0
2.975 5.117 0.052
-2.975 5.117 0.052
0.000 3.407 4.844
O Ti Fe Li
8 2 2 2
direct
0.869 0.399 0.879 O
0.839 0.375 0.376 O
0.375 0.375 0.838 O
0.868 0.868 0.868 O
0.399 0.869 0.879 O
0.382 0.382 0.391 O
0.871 0.871 0.405 O
0.375 0.839 0.376 O
0.145 0.628 0.617 Ti
0.628 0.145 0.617 Ti
0.005 0.005 0.009 Fe
0.621 0.621 0.127 Fe
0.627 0.627 0.624 Li
0.247 0.247 0.243 Li
```

Summary:
space group = No. 8
N(E_F) = 0.00 states/eV per cell

Record 5
The following is a DFT calculation (PBE+U) of a relaxed LiTiFeO4 crystal.

Structure (POSCAR):
```
LiTiFeO4
1.0
-2.666 -5.234 1.056
5.322 -2.758 -0.233
0.981 1.188 8.367
O Li Fe Ti
16 4 4 4
direct
0.229 0.250 0.518 O
0.729 0.750 0.018 O
0.000 0.971 0.256 O
0.729 0.250 0.982 O
0.500 0.029 0.756 O
0.271 0.750 0.018 O
0.000 0.529 0.256 O
0.000 0.471 0.744 O
0.500 0.971 0.244 O
0.500 0.471 0.756 O
0.771 0.750 0.482 O
0.000 0.029 0.744 O
0.271 0.250 0.982 O
0.229 0.750 0.482 O
0.500 0.529 0.244 O
0.771 0.250 0.518 O
0.000 0.250 0.120 Li
0.500 0.750 0.620 Li
0.000 0.750 0.880 Li
0.500 0.250 0.380 Li
0.000 0.500 0.500 Fe
0.000 0.000 0.500 Fe
0.500 0.000 0.000 Fe
0.500 0.500 0.000 Fe
0.750 0.750 0.250 Ti
0.250 0.750 0.250 Ti
0.250 0.250 0.750 Ti
0.750 0.250 0.750 Ti
```

Summary:
space group = No. 74

Record 6
The following is a DFT calculation (PBE+U) of a relaxed Li3TiFe3O8 crystal.

Structure (POSCAR):
```
Li3TiFe3O8
1.0
-3.359 -1.499 4.708
2.335 -3.285 4.411
1.071 2.525 5.360
Li Fe O Ti
3 3 8 1
direct
0.000 0.500 0.500 Li
0.500 0.000 0.500 Li
0.000 0.000 0.500 Li
0.500 0.000 0.000 Fe
0.000 0.500 0.000 Fe
0.500 0.500 0.000 Fe
0.233 0.233 0.782 O
0.741 0.741 0.776 O
0.767 0.767 0.218 O
0.767 0.247 0.218 O
0.753 0.233 0.782 O
0.247 0.767 0.218 O
0.259 0.259 0.224 O
0.233 0.753 0.782 O
0.000 0.000 0.000 Ti
```

Summary:
space group = No. 166
N(E_F) = 0.00 states/eV per cell

Number 1: size of the total moment 15.99 μB/cell, raw total energy -438.08 eV/cell. Number 2: size of the total moment 21.00 μB/cell, raw total energy -99.99 eV/cell. Number 3: size of the total moment 11.01 μB/cell, raw total energy -158.73 eV/cell. Number 4: size of the total moment 6.05 μB/cell, raw total energy -100.81 eV/cell. Number 5: size of the total moment 20.00 μB/cell, raw total energy -205.40 eV/cell. Number 6: size of the total moment 14.99 μB/cell, raw total energy -99.67 eV/cell.